This record from the Alexandria database describes a relaxed RbInBr crystal. The functional is PBE-GGA.

energy relative to the elements, uncorrected: -0.593 eV/atom
E_tot: -2.386 eV per atom

```
data_RbInBr
_chemical_formula_sum 'Rb4 In4 Br4'
_cell_length_a 15.0242
_cell_length_b 4.1797
_cell_length_c 7.7469
_cell_angle_alpha 90.00
_cell_angle_beta 90.00
_cell_angle_gamma 90.00
_symmetry_space_group_name_H-M 'A m m 2'
_symmetry_Int_Tables_number 38
_symmetry_space_group_name_Hall 'A 2 -2'
loop_
_atom_site_label
_atom_site_type_symbol
_atom_site_fract_x
_atom_site_fract_y
_atom_site_fract_z
Rb1 Rb 0.1527 0.0000 0.0000
In1 In 0.3498 0.0000 0.3274
Br1 Br 0.0000 0.0000 0.3214
Br2 Br 0.5000 0.0000 0.8381
```